Computed, not measured: a relaxed structure of KLi2LaC at the PBE-GGA level of DFT.

abc: 5.1316 4.8057 5.1316
angles: 90.00 90.00 90.00
Site moments in Bohr magnetons follow the coordinates.
Positions (direct):
K1 0.5000 0.5000 0.5000  0.00
Li1 0.0000 0.0000 0.5000  0.00
Li2 0.5000 0.0000 0.0000  0.00
C1 0.0000 0.0000 0.0000  0.12
La1 0.0000 0.5000 0.0000  0.06

Values from the calculation:
Total DFT energy (no corrections), eV/atom: -3.366
Symmetry: P4/mmm, No. 123
Energy of formation, eV/atom: 0.450